(1)
Here is an optimized crystal structure of AcPt2Pb from the Alexandria database. Energies are from PBE.

Summary:
The calculation puts the energy at -5.54 eV/atom. The volume is 106 Å³ per cell. The formation energy is -13.0 kcal/mol of atoms.

```
AcPt2Pb
1.0
2.9828 -4.4645 0.0000
2.9828 4.4645 0.0000
0.0000 0.0000 3.9955
Ac Pt Pb
1 2 1
direct
0.0000 0.0000 0.0000
0.0000 0.5000 0.5000
0.5000 0.0000 0.5000
0.5000 0.5000 0.5000
```

=====

(2)
Here is an optimized crystal structure of Ba2MgTl4Cd3 from the Alexandria database. Energies are from PBE.

Summary:
The calculation puts the energy at -2.02 eV/atom. The volume is 312 Å³ per cell. The formation energy is -5.9 kcal/mol of atoms.

```
Ba2MgTl4Cd3
1.0
5.0062 0.0000 0.0000
0.0000 5.0062 0.0000
0.0000 0.0000 12.4620
Ba Mg Tl Cd
2 1 4 3
direct
0.0000 0.5000 0.2490
0.5000 0.0000 0.7510
0.5000 0.5000 0.0000
0.0000 0.0000 0.5000
0.0000 0.5000 0.8702
0.5000 0.0000 0.1298
0.5000 0.5000 0.5000
0.0000 0.0000 0.0000
0.0000 0.5000 0.6383
0.5000 0.0000 0.3617
```

=====

(3)
Here is an optimized crystal structure of NiSbW from the Alexandria database. Energies are from PBE.

Summary:
The calculation puts the energy at -6.92 eV/atom. The volume is 59 Å³ per cell. The value obtained for the relative energy among the computed polymorphs is 5.65 kcal/mol of atoms. The uncorrected formation energy comes out at 67.4 kJ per mole of atoms.

```
NiSbW
1.0
0.0000 3.0848 3.0848
3.0848 0.0000 3.0848
3.0848 3.0848 0.0000
Ni Sb W
1 1 1
direct
0.0000 0.0000 0.0000
0.5000 0.5000 0.5000
0.7500 0.7500 0.7500
```

=====

(4)
Here is an optimized crystal structure of LaZrMn2 from the Alexandria database. Energies are from PBE.

Summary:
The calculation puts the energy at -7.67 eV/atom. The volume is 82 Å³ per cell. The value obtained for the relative energy among the computed polymorphs is 2.91 kcal/mol of atoms. The formation energy is 6.5 kcal/mol of atoms.

```
LaZrMn2
1.0
4.9277 0.0000 0.0000
0.0000 4.9277 0.0000
0.0000 0.0000 3.3776
La Zr Mn
1 1 2
direct
0.0000 0.0000 0.0000
0.5000 0.5000 0.0000
0.0000 0.5000 0.5000
0.5000 0.0000 0.5000
```

=====

Q: volume of number 3 (NiSbW)?
A: 59 Å³ per cell